# CaIn2Ir2

Crystalline CaIn2Ir2 at its relaxed geometry (PBEsol, Alexandria via LeMat-Bulk).

The formation energy is -0.262 eV per atom. The crystal system is tetragonal.

The space group is I4/mmm (No. 139) and the conventional cell measures 4.3783, 4.3783 and 11.0812 Å, with angles of 90.00, 90.00 and 90.00 degrees. Symmetry generates all atoms from Ca at (0.0000, 0.0000, 0.0000), In at (0.0000, 0.5000, 0.2500) and Ir at (0.0000, 0.0000, 0.3916).